# 1
{
  "formula": "ZrBe",
  "functional": "PBE",
  "state": "relaxed",
  "delta_e_f_ev_per_atom": 0.606,
  "magnetic_moment_mub_per_atom": 0.3365,
  "energy_ev_per_fu": -11.06,
  "lattice_angstrom": [[4.546, 0.000, 0.000], [2.273, 3.937, 0.000], [2.273, 1.312, 3.712]],
  "species": ["Zr", "Be", "Be", "Zr"],
  "frac_coords": [[0.750, 0.750, 0.750], [0.250, 0.250, 0.250], [0.000, 0.000, 0.000], [0.500, 0.500, 0.500]]
}

***

# 2
{
  "formula": "Rb2CaAs2",
  "functional": "PBE",
  "state": "relaxed",
  "delta_e_f_ev_per_atom": 0.390,
  "polymorph_energy_kj_per_mol_fu": 412,
  "magnetic_moment_mub_per_atom": 0.0000,
  "energy_ev_per_fu": -11.28,
  "lattice_angstrom": [[3.629, 0.000, 0.000], [0.000, 3.629, 0.000], [0.000, 0.000, 16.566]],
  "species": ["Ca", "As", "Rb", "Rb", "As"],
  "frac_coords": [[0.500, 0.500, 0.000], [0.500, 0.500, 0.169], [0.500, 0.500, 0.636], [0.500, 0.500, 0.364], [0.500, 0.500, 0.831]]
}

***

# 3
{
  "formula": "Ca2AcSc",
  "functional": "PBE",
  "state": "relaxed",
  "delta_e_f_ev_per_atom": 0.338,
  "polymorph_energy_kj_per_mol_fu": 59,
  "magnetic_moment_mub_per_atom": 0.1146,
  "energy_ev_per_fu": -13.09,
  "lattice_angstrom": [[3.639, 0.000, 0.000], [1.819, 3.151, 0.000], [1.819, 1.050, 13.157]],
  "species": ["Sc", "Ac", "Ca", "Ca"],
  "frac_coords": [[0.000, 0.000, 0.000], [0.500, 0.500, 0.500], [0.083, 0.083, 0.752], [0.917, 0.917, 0.248]]
}

***

# 4
{
  "formula": "TaGeOs3",
  "functional": "PBE",
  "state": "relaxed",
  "delta_e_f_ev_per_atom": 1.365,
  "polymorph_energy_kj_per_mol_fu": 0,
  "magnetic_moment_mub_per_atom": 0.0000,
  "energy_ev_per_fu": -43.33,
  "lattice_angstrom": [[4.456, 0.000, 0.000], [0.000, 4.456, 0.000], [0.000, 0.000, 4.456]],
  "species": ["Ta", "Os", "Os", "Ge", "Os"],
  "frac_coords": [[0.500, 0.500, 0.500], [0.500, 0.000, 0.000], [0.000, 0.000, 0.500], [0.000, 0.000, 0.000], [0.000, 0.500, 0.000]]
}

***

# 5
{
  "formula": "CsSb2PtI",
  "functional": "PBE",
  "state": "relaxed",
  "polymorph_energy_kj_per_mol_fu": 918,
  "formation_energy_uncorrected_ev_per_atom": 1.779,
  "magnetic_moment_mub_per_atom": 0.7005,
  "energy_ev_per_fu": -7.79,
  "lattice_angstrom": [[6.545, 0.000, 0.000], [0.000, 6.545, 0.000], [0.000, 0.000, 6.767]],
  "species": ["Cs", "Sb", "Sb", "I", "Pt"],
  "frac_coords": [[0.000, 0.000, 0.000], [0.500, 0.000, 0.000], [0.000, 0.500, 0.000], [0.000, 0.000, 0.500], [0.500, 0.500, 0.500]]
}

***

# 6
{
  "formula": "Cs3PmPu2Te6",
  "functional": "PBE",
  "state": "relaxed",
  "formation_energy_uncorrected_ev_per_atom": -1.202,
  "magnetic_moment_mub_per_atom": 0.8333,
  "energy_ev_per_fu": -69.25,
  "lattice_angstrom": [[-0.594, 1.541, -7.867], [-6.570, -1.873, 4.236], [1.081, 8.737, 2.998]],
  "species": ["Pu", "Pm", "Te", "Cs", "Pu", "Te", "Te", "Cs", "Te", "Te", "Te", "Cs"],
  "frac_coords": [[0.667, 0.333, 0.000], [0.000, 0.000, 0.000], [0.400, 0.064, 0.191], [0.500, 0.500, 0.500], [0.333, 0.667, 0.000], [0.273, 0.273, 0.810], [0.936, 0.600, 0.809], [0.835, 0.165, 0.500], [0.727, 0.727, 0.190], [0.600, 0.936, 0.809], [0.064, 0.400, 0.191], [0.165, 0.835, 0.500]]
}